Arrangement A

This record from Alexandria describes a geometry-optimized RbAgSb2 structure. The functional is PBE-GGA.

* SG: Fm-3m

Cell lengths 7.723, 7.723, 7.723 Å; angles 90.00, 90.00, 90.00 degrees
Element x y z (fractional)
Rb1 0.000 0.000 0.000
Rb2 0.000 0.500 0.500
Rb3 0.500 0.000 0.500
Rb4 0.500 0.500 0.000
Ag1 0.000 0.000 0.500
Ag2 0.000 0.500 0.000
Ag3 0.500 0.000 0.000
Ag4 0.500 0.500 0.500
Sb1 0.250 0.250 0.250
Sb2 0.250 0.250 0.750
Sb3 0.250 0.750 0.250
Sb4 0.250 0.750 0.750
Sb5 0.750 0.250 0.250
Sb6 0.750 0.250 0.750
Sb7 0.750 0.750 0.250
Sb8 0.750 0.750 0.750

Arrangement B

This record from Alexandria describes a geometry-optimized RbAgSb2 structure. The functional is PBE-GGA.

* SG: I-42d

Cell lengths 5.692, 5.692, 19.371 Å; angles 90.00, 90.00, 90.00 degrees
Element x y z (fractional)
Rb1 0.000 0.000 0.000
Rb2 0.000 0.500 0.250
Rb3 0.500 0.000 0.750
Rb4 0.500 0.500 0.500
Ag1 0.000 0.000 0.500
Ag2 0.000 0.500 0.750
Ag3 0.500 0.000 0.250
Ag4 0.500 0.500 0.000
Sb1 0.072 0.250 0.625
Sb2 0.250 0.572 0.875
Sb3 0.250 0.928 0.375
Sb4 0.428 0.250 0.125
Sb5 0.572 0.750 0.125
Sb6 0.750 0.072 0.375
Sb7 0.750 0.428 0.875
Sb8 0.928 0.750 0.625

Arrangement C

This record from Alexandria describes a geometry-optimized RbAgSb2 structure. The functional is PBE-GGA.

* SG: P2/m

Cell lengths 5.084, 4.561, 6.517 Å; angles 90.00, 103.64, 90.00 degrees
Element x y z (fractional)
Rb1 0.000 0.000 0.000
Ag1 0.500 0.000 0.500
Sb1 0.270 0.500 0.632
Sb2 0.730 0.500 0.368

Arrangement D

This record from Alexandria describes a geometry-optimized RbAgSb2 structure. The functional is PBE-GGA.

* SG: Cmcm

Cell lengths 4.488, 14.464, 8.924 Å; angles 90.00, 90.00, 90.00 degrees
Element x y z (fractional)
Rb1 0.000 0.167 0.250
Rb2 0.000 0.833 0.750
Rb3 0.500 0.333 0.750
Rb4 0.500 0.667 0.250
Ag1 0.000 0.085 0.750
Ag2 0.000 0.915 0.250
Ag3 0.500 0.415 0.250
Ag4 0.500 0.585 0.750
Sb1 0.000 0.411 0.062
Sb2 0.000 0.411 0.438
Sb3 0.000 0.589 0.562
Sb4 0.000 0.589 0.938
Sb5 0.500 0.089 0.562
Sb6 0.500 0.089 0.938
Sb7 0.500 0.911 0.062
Sb8 0.500 0.911 0.438

Energetically preferred structure: arrangement C | next structure: +0.018 eV/atom

Arrangement A

This record from Alexandria describes a geometry-optimized RbAgSb3 structure. The functional is PBE-GGA.

* SG: Pm-3m

Cell lengths 6.061, 6.061, 6.061 Å; angles 90.00, 90.00, 90.00 degrees
Element x y z (fractional)
Rb1 0.000 0.000 0.000
Ag1 0.500 0.500 0.500
Sb1 0.000 0.000 0.500
Sb2 0.000 0.500 0.000
Sb3 0.500 0.000 0.000

Arrangement B

This record from Alexandria describes a geometry-optimized RbAgSb3 structure. The functional is PBE-GGA.

* SG: Pm-3m

Cell lengths 5.555, 5.555, 5.555 Å; angles 90.00, 90.00, 90.00 degrees
Element x y z (fractional)
Rb1 0.000 0.000 0.000
Ag1 0.500 0.500 0.500
Sb1 0.000 0.500 0.500
Sb2 0.500 0.000 0.500
Sb3 0.500 0.500 0.000

Energetically preferred structure: arrangement B | next structure: +1.295 eV/atom

Arrangement A

This record from Alexandria describes a geometry-optimized RbAg2Sb2 structure. The functional is PBE-GGA.

* SG: P4/mbm

Cell lengths 9.036, 9.036, 3.239 Å; angles 90.00, 90.00, 90.00 degrees
Element x y z (fractional)
Rb1 0.000 0.000 0.000
Rb2 0.500 0.500 0.000
Ag1 0.129 0.371 0.000
Ag2 0.371 0.871 0.000
Ag3 0.629 0.129 0.000
Ag4 0.871 0.629 0.000
Sb1 0.157 0.657 0.500
Sb2 0.343 0.157 0.500
Sb3 0.657 0.843 0.500
Sb4 0.843 0.343 0.500

Arrangement B

This record from Alexandria describes a geometry-optimized RbAg2Sb2 structure. The functional is PBE-GGA.

* SG: I4/mmm

Cell lengths 5.276, 5.276, 11.184 Å; angles 90.00, 90.00, 90.00 degrees
Element x y z (fractional)
Rb1 0.000 0.000 0.000
Rb2 0.500 0.500 0.500
Ag1 0.000 0.000 0.346
Ag2 0.000 0.000 0.654
Ag3 0.500 0.500 0.154
Ag4 0.500 0.500 0.846
Sb1 0.000 0.500 0.250
Sb2 0.000 0.500 0.750
Sb3 0.500 0.000 0.250
Sb4 0.500 0.000 0.750

Energetically preferred structure: arrangement B | next structure: +0.032 eV/atom

Arrangement A

This record from Alexandria describes a geometry-optimized Rb2Ag2Sb structure. The functional is PBE-GGA.

* SG: I4/mmm

Cell lengths 5.055, 5.055, 14.163 Å; angles 90.00, 90.00, 90.00 degrees
Element x y z (fractional)
Rb1 0.000 0.500 0.250
Rb2 0.000 0.500 0.750
Rb3 0.500 0.000 0.250
Rb4 0.500 0.000 0.750
Ag1 0.000 0.000 0.091
Ag2 0.000 0.000 0.909
Ag3 0.500 0.500 0.409
Ag4 0.500 0.500 0.591
Sb1 0.000 0.000 0.500
Sb2 0.500 0.500 0.000

Arrangement B

This record from Alexandria describes a geometry-optimized Rb2Ag2Sb structure. The functional is PBE-GGA.

* SG: P4/mbm

Cell lengths 7.561, 7.561, 5.711 Å; angles 90.00, 90.00, 90.00 degrees
Element x y z (fractional)
Rb1 0.183 0.317 0.000
Rb2 0.317 0.817 0.000
Rb3 0.683 0.183 0.000
Rb4 0.817 0.683 0.000
Ag1 0.134 0.634 0.500
Ag2 0.366 0.134 0.500
Ag3 0.634 0.866 0.500
Ag4 0.866 0.366 0.500
Sb1 0.000 0.000 0.500
Sb2 0.500 0.500 0.500

Energetically preferred structure: arrangement B | next structure: +0.590 eV/atom

Arrangement A

This record from Alexandria describes a geometry-optimized Rb3AgSb structure. The functional is PBE-GGA.

* SG: Ima2

Cell lengths 9.080, 9.080, 9.080 Å; angles 80.17, 124.49, 127.20 degrees
Element x y z (fractional)
Rb1 0.169 0.504 0.166
Rb2 0.249 0.008 0.256
Rb3 0.249 0.492 0.741
Rb4 0.338 0.004 0.834
Rb5 0.751 0.508 0.259
Rb6 0.751 0.992 0.744
Ag1 0.255 0.255 0.500
Ag2 0.754 0.755 0.500
Sb1 0.724 0.505 0.719
Sb2 0.786 0.005 0.281

Arrangement B

This record from Alexandria describes a geometry-optimized Rb3AgSb structure. The functional is PBE-GGA.

* SG: Pm-3m

Cell lengths 6.999, 6.999, 6.999 Å; angles 90.00, 90.00, 90.00 degrees
Element x y z (fractional)
Rb1 0.000 0.000 0.500
Rb2 0.000 0.500 0.000
Rb3 0.500 0.000 0.000
Ag1 0.500 0.500 0.500
Sb1 0.000 0.000 0.000

Energetically preferred structure: arrangement A | next structure: +0.217 eV/atom